No. 1
KBPb | PBE | relaxed

Lattice parameters (Å, degrees): 4.057 5.567 8.176 91.81 103.22 111.21
Space group P-1 (No. 2)
Inequivalent atoms, fractional coordinates:
K  0.239  0.279  0.176
B  0.070  0.654  0.488
Pb  0.385  0.139  0.642

Results
Spin magnetization: 0.00 μB per cell
Formation energy: 1.3 eV/f.u.
DOS at the Fermi energy: 0.368 states/eV per atom

***

No. 2
PbAuSe2 | PBE | relaxed

Lattice parameters (Å, degrees): 3.995 7.415 7.645 90.00 90.00 90.00
Space group Cmmm (No. 65)
Inequivalent atoms, fractional coordinates:
Pb  0.000  0.000  0.000
Au  0.000  0.000  0.500
Se  0.000  0.500  0.281

Results
Spin magnetization: 0.00 μB per cell
Formation energy from raw total energies: -0.01 eV/atom
DOS at the Fermi energy: 0.364 states/eV per atom

***

No. 3
Zn2SiIr | PBE | relaxed

Lattice parameters (Å, degrees): 2.908 4.146 4.702 90.00 90.00 90.00
Space group Pmmm (No. 47)
Inequivalent atoms, fractional coordinates:
Zn  0.000  0.000  0.000
Zn  0.500  0.500  0.000
Si  0.000  0.500  0.500
Ir  0.500  0.000  0.500

Results
Spin magnetization: 0.00 μB per cell
Formation energy from raw total energies: -0.05 eV/atom
DOS at the Fermi energy: 0.411 states/eV per atom

***

DOS at the Fermi energy of number 2 (PbAuSe2)?
0.364 states/eV per atom

***

What is the formula in the second record?
PbAuSe2

***

The lowest DOS at the Fermi energy belongs to which entry?
PbAuSe2

***

What is the DOS at the Fermi energy in the second record?
0.364 states/eV per atom